An optimized crystal structure of PrGdPd2. Source: OQMD, functional PBE.

a b c (Å): 4.616 3.839 10.807
angles (deg): 90.00 90.00 90.00
Space group Amm2 (No. 38)
One atom of each set of equivalent atoms:
Pr (0.000, 0.000, 0.000) (multiplicity 2)
Gd (0.500, 0.000, 0.273) (multiplicity 2)
Pd (0.000, 0.000, 0.724) (multiplicity 2)
Pd (0.500, 0.000, 0.550) (multiplicity 2)

Values from the calculation:
The value obtained for the energy of formation is -841 meV per atom. Its volume is 23.9 Å³/atom. As for the uncorrected energy: -5.786 eV per atom.

An optimized crystal structure of Li2Sc2In2PdPt. Source: OQMD, functional PBE.

a b c (Å): 4.633 4.633 6.566
angles (deg): 90.00 90.00 90.00
Space group P-4m2 (No. 115)
One atom of each set of equivalent atoms:
Li (0.000, 0.000, 0.000) (multiplicity 1)
Li (0.500, 0.500, 0.500) (multiplicity 1)
Sc (0.000, 0.500, 0.745) (multiplicity 2)
In (0.000, 0.500, 0.248) (multiplicity 2)
Pd (0.500, 0.500, 0.000) (multiplicity 1)
Pt (0.000, 0.000, 0.500) (multiplicity 1)

Values from the calculation:
Its volume is 17.6 Å³/atom. As for the uncorrected energy: -4.859 eV per atom.

An optimized crystal structure of GdMgZn. Source: OQMD, functional PBE.

a b c (Å): 6.375 6.390 15.842
angles (deg): 90.24 91.86 118.52
Space group P1 (No. 1)
One atom of each set of equivalent atoms:
Gd (0.000, 0.000, 0.000) (multiplicity 1)
Gd (0.027, 0.490, 0.144) (multiplicity 1)
Gd (0.109, 0.561, 0.914) (multiplicity 1)
Gd (0.311, 0.193, 0.413) (multiplicity 1)
Gd (0.392, 0.307, 0.633) (multiplicity 1)
Gd (0.551, 0.453, 0.026) (multiplicity 1)
Gd (0.731, 0.780, 0.489) (multiplicity 1)
Gd (0.900, 0.367, 0.526) (multiplicity 1)
Mg (0.103, 0.105, 0.802) (multiplicity 1)
Mg (0.263, 0.683, 0.365) (multiplicity 1)
Mg (0.301, 0.735, 0.724) (multiplicity 1)
Mg (0.421, 0.079, 0.188) (multiplicity 1)
Mg (0.506, 0.546, 0.239) (multiplicity 1)
Mg (0.587, 0.086, 0.866) (multiplicity 1)
Mg (0.644, 0.617, 0.825) (multiplicity 1)
Mg (0.785, 0.108, 0.323) (multiplicity 1)
Zn (0.009, 0.877, 0.261) (multiplicity 1)
Zn (0.328, 0.853, 0.546) (multiplicity 1)
Zn (0.476, 0.932, 0.031) (multiplicity 1)
Zn (0.717, 0.984, 0.659) (multiplicity 1)
Zn (0.746, 0.932, 0.151) (multiplicity 1)
Zn (0.796, 0.518, 0.353) (multiplicity 1)
Zn (0.851, 0.366, 0.735) (multiplicity 1)
Zn (0.934, 0.752, 0.655) (multiplicity 1)

Values from the calculation:
Its volume is 23.6 Å³/atom. As for the uncorrected energy: -2.586 eV per atom.